# Pu3VO7

A relaxed Pu3VO7 crystal (GGA+U, the Alexandria database).

Computed properties:
Its space-group type is Cmcm, No. 63. The density of states at the Fermi level is 1.14 states/eV/atom. Its total DFT energy (no corrections) is -232.98 eV for the cell shown.

a = 6.4711 Å, b = 6.4711 Å, c = 7.4284 Å
α = 90.00°, β = 90.00°, γ = 108.81°
Last column: magnetic moment on the atom in μB.
Element x y z (fractional)
V1 0.9999 0.9999 0.0000  1.89
Pu1 0.5001 0.5001 0.5000  4.72
Pu2 0.4999 0.4999 0.0000  4.72
O1 0.3401 0.0909 0.0259  -0.11
O2 0.0756 0.9244 0.7500  -0.05
Pu3 0.9984 0.4715 0.2498  4.42
O3 0.9244 0.0756 0.2500  -0.05
Pu4 0.5285 0.0016 0.2502  4.42
Pu5 0.4715 0.9984 0.7502  4.42
Pu6 0.0016 0.5285 0.7498  4.42
O4 0.3404 0.0913 0.4745  -0.11
O5 0.3671 0.6329 0.2500  -0.12
O6 0.3648 0.6352 0.7500  -0.13
O7 0.6329 0.3671 0.7500  -0.12
V2 0.0001 0.0001 0.5000  1.89
O8 0.6352 0.3648 0.2500  -0.13
O9 0.9091 0.6599 0.4741  -0.11
O10 0.0909 0.3401 0.9741  -0.11
O11 0.0913 0.3404 0.5255  -0.11
O12 0.6599 0.9091 0.5259  -0.11
O13 0.9087 0.6596 0.0255  -0.11
O14 0.6596 0.9087 0.9745  -0.11

---

# PuV2O6

A relaxed PuV2O6 crystal (GGA+U, the Alexandria database).

Computed properties:
Its space-group type is P-31m, No. 162. The density of states at the Fermi level is 0.65 states/eV/atom. Its total DFT energy (no corrections) is -79.83 eV for the cell shown.

a = 4.7807 Å, b = 5.0614 Å, c = 5.0614 Å
α = 120.00°, β = 90.00°, γ = 90.00°
Last column: magnetic moment on the atom in μB.
Element x y z (fractional)
O1 0.2736 0.3499 0.3499  -0.13
O2 0.7264 0.6501 0.6501  -0.13
Pu1 0.0000 0.0000 0.0000  4.00
O3 0.7264 0.0000 0.3499  -0.13
V1 0.5000 0.3333 0.6667  1.33
V2 0.5000 0.6667 0.3333  1.33
O4 0.7264 0.3499 0.0000  -0.13
O5 0.2736 0.6501 0.0000  -0.13
O6 0.2736 0.0000 0.6501  -0.13

---

# PuVO5

A relaxed PuVO5 crystal (GGA+U, the Alexandria database).

Computed properties:
Its space-group type is C2/c, No. 15. The density of states at the Fermi level is 0.79 states/eV/atom. Its total DFT energy (no corrections) is -125.22 eV for the cell shown.

a = 5.8954 Å, b = 5.8954 Å, c = 7.9520 Å
α = 108.57°, β = 108.57°, γ = 93.38°
Last column: magnetic moment on the atom in μB.
Element x y z (fractional)
V1 0.6371 0.3629 0.7500  0.11
Pu1 0.0000 0.0000 0.5000  3.33
V2 0.3629 0.6371 0.2500  0.11
O1 0.7722 0.2596 0.5803  -0.07
O2 0.0613 0.9387 0.7500  -0.18
O3 0.3222 0.2793 0.6396  -0.06
O4 0.6778 0.7207 0.3604  -0.06
O5 0.2596 0.7722 0.0803  -0.07
O6 0.7404 0.2278 0.9197  -0.07
O7 0.2278 0.7404 0.4197  -0.07
Pu2 0.0000 0.0000 0.0000  3.33
O8 0.2793 0.3222 0.1396  -0.06
O9 0.9387 0.0613 0.2500  -0.18
O10 0.7207 0.6778 0.8604  -0.06

---

# Pu3V5O12

A relaxed Pu3V5O12 crystal (GGA+U, the Alexandria database).

Computed properties:
Its space-group type is Ia-3d, No. 230. The density of states at the Fermi level is 1.07 states/eV/atom. Its total DFT energy (no corrections) is -747.28 eV for the cell shown.

a = 11.0232 Å, b = 11.0232 Å, c = 11.0232 Å
α = 109.47°, β = 109.47°, γ = 109.47°
Last column: magnetic moment on the atom in μB.
Element x y z (fractional)
V1 0.2500 0.3750 0.6250  1.88
O1 0.0951 0.1794 0.4684  -0.07
V2 0.2500 0.8750 0.1250  1.88
V3 0.5000 0.0000 0.0000  2.36
O2 0.0843 0.9049 0.3733  -0.07
O3 0.3206 0.5316 0.4049  -0.07
O4 0.9049 0.8206 0.5316  -0.07
V4 0.1250 0.7500 0.3750  1.88
Pu1 0.7500 0.3750 0.1250  4.84
O5 0.4049 0.3733 0.5843  -0.07
Pu2 0.2500 0.6250 0.8750  4.84
O6 0.9684 0.5951 0.1794  -0.07
O7 0.9049 0.0843 0.8733  -0.07
O8 0.4684 0.7890 0.8733  -0.07
O9 0.1267 0.4157 0.0951  -0.07
O10 0.5951 0.6267 0.4157  -0.07
O11 0.7890 0.3206 0.9157  -0.07
O12 0.7110 0.5843 0.1794  -0.07
Pu3 0.6250 0.2500 0.3750  4.84
V5 0.6250 0.8750 0.2500  1.88
O13 0.9157 0.0951 0.6267  -0.07
O14 0.9157 0.8206 0.7890  -0.07
V6 0.6250 0.7500 0.8750  1.88
O15 0.5951 0.9684 0.6794  -0.07
O16 0.7110 0.1267 0.0316  -0.07
V7 0.7500 0.1250 0.8750  1.88
O17 0.3733 0.4049 0.0843  -0.07
Pu4 0.6250 0.3750 0.7500  4.84
V8 0.0000 0.5000 0.0000  2.36
O18 0.5316 0.3206 0.9049  -0.07
O19 0.2110 0.6794 0.0843  -0.07
O20 0.3733 0.9684 0.7890  -0.07
V9 0.0000 0.5000 0.5000  2.36
Pu5 0.2500 0.1250 0.3750  4.84
Pu6 0.8750 0.1250 0.2500  4.84
V10 0.8750 0.2500 0.6250  1.88
O21 0.4049 0.0316 0.3206  -0.07
O22 0.2110 0.5316 0.6267  -0.07
O23 0.7890 0.4684 0.3733  -0.07
O24 0.0316 0.4049 0.8206  -0.07
O25 0.1794 0.0843 0.7110  -0.07
O26 0.8206 0.9049 0.0316  -0.07
O27 0.6794 0.2110 0.5843  -0.07
O28 0.9684 0.3733 0.2890  -0.07
V11 0.8750 0.6250 0.7500  1.88
V12 0.5000 0.5000 0.5000  2.36
O29 0.0951 0.9157 0.1267  -0.07
O30 0.4684 0.6794 0.0951  -0.07
O31 0.6267 0.5951 0.9157  -0.07
V13 0.7500 0.6250 0.3750  1.88
O32 0.5843 0.8733 0.4049  -0.07
O33 0.1267 0.7110 0.5316  -0.07
V14 0.5000 0.0000 0.5000  2.36
Pu7 0.3750 0.7500 0.6250  4.84
O34 0.5843 0.7110 0.6794  -0.07
O35 0.6794 0.4684 0.5951  -0.07
O36 0.8206 0.9157 0.2890  -0.07
O37 0.0843 0.1794 0.2110  -0.07
Pu8 0.7500 0.8750 0.6250  4.84
V15 0.1250 0.3750 0.2500  1.88
O38 0.1794 0.0951 0.9684  -0.07
V16 0.3750 0.2500 0.1250  1.88
V17 0.3750 0.1250 0.7500  1.88
V18 0.0000 0.0000 0.5000  2.36
O39 0.4157 0.1267 0.5951  -0.07
Pu9 0.1250 0.8750 0.7500  4.84
Pu10 0.1250 0.2500 0.8750  4.84
O40 0.8733 0.5843 0.9049  -0.07
Pu11 0.3750 0.6250 0.2500  4.84
O41 0.6267 0.0316 0.2110  -0.07
O42 0.4157 0.2890 0.3206  -0.07
O43 0.8733 0.2890 0.4684  -0.07
O44 0.0316 0.6267 0.7110  -0.07
V19 0.0000 0.0000 0.0000  2.36
V20 0.5000 0.5000 0.0000  2.36
O45 0.3206 0.7890 0.4157  -0.07
O46 0.5316 0.2110 0.1267  -0.07
Pu12 0.8750 0.7500 0.1250  4.84
O47 0.2890 0.8733 0.9684  -0.07
O48 0.2890 0.4157 0.8206  -0.07

---

# PuV2O5

A relaxed PuV2O5 crystal (GGA+U, the Alexandria database).

Computed properties:
Its space-group type is Cmcm, No. 63. The density of states at the Fermi level is 0.97 states/eV/atom. Its total DFT energy (no corrections) is -145.60 eV for the cell shown.

a = 3.8859 Å, b = 5.4428 Å, c = 9.7443 Å
α = 90.00°, β = 90.00°, γ = 110.91°
Last column: magnetic moment on the atom in μB.
Element x y z (fractional)
O1 0.7849 0.5698 0.2500  -0.09
O2 0.9527 0.9055 0.6231  -0.10
Pu1 0.5711 0.1422 0.2500  4.59
O3 0.3368 0.6735 0.4736  -0.04
V1 0.8538 0.7076 0.0566  1.78
Pu2 0.4289 0.8578 0.7500  4.59
O4 0.2151 0.4302 0.7500  -0.09
O5 0.6632 0.3265 0.5264  -0.04
O6 0.6632 0.3265 0.9736  -0.04
V2 0.8538 0.7076 0.4434  1.78
O7 0.0473 0.0945 0.1231  -0.10
V3 0.1462 0.2924 0.9434  1.78
V4 0.1462 0.2924 0.5566  1.78
O8 0.3368 0.6735 0.0264  -0.04
O9 0.0473 0.0945 0.3769  -0.10
O10 0.9527 0.9055 0.8769  -0.10

---

# PuV3O9

A relaxed PuV3O9 crystal (GGA+U, the Alexandria database).

Computed properties:
Its space-group type is Cc, No. 9. The density of states at the Fermi level is 0.58 states/eV/atom. Its total DFT energy (no corrections) is -218.15 eV for the cell shown.

a = 7.4690 Å, b = 8.5239 Å, c = 9.5971 Å
α = 74.03°, β = 67.10°, γ = 64.02°
Last column: magnetic moment on the atom in μB.
Element x y z (fractional)
Pu1 0.5018 0.0005 0.4946  4.36
O1 0.0028 0.5020 0.4945  -0.05
O2 0.3171 0.3068 0.8895  -0.07
V1 0.5502 0.2502 0.7441  0.33
V2 0.2157 0.4501 0.3221  0.41
O3 0.3543 0.2272 0.3389  -0.08
O4 0.7494 0.0664 0.8080  -0.04
O5 0.2552 0.9323 0.1800  -0.04
O6 0.8814 0.4832 0.8206  -0.07
O7 0.8149 0.9832 0.3206  -0.07
V3 0.0120 0.9501 0.8221  0.41
O8 0.0796 0.7272 0.8389  -0.08
V4 0.7896 0.5513 0.6671  0.41
O9 0.6892 0.6949 0.0990  -0.07
O10 0.1885 0.0190 0.6686  -0.07
V5 0.9921 0.0513 0.1671  0.41
O11 0.1239 0.5190 0.1686  -0.07
O12 0.5170 0.1949 0.5990  -0.07
O13 0.6326 0.4323 0.6800  -0.04
V6 0.4555 0.7502 0.2441  0.33
Pu2 0.0031 0.5005 0.9946  4.36
O14 0.3762 0.5664 0.3080  -0.04
O15 0.6480 0.7737 0.6509  -0.08
O16 0.0007 0.0020 0.9945  -0.05
O17 0.4866 0.8068 0.3895  -0.07
O18 0.9273 0.2737 0.1509  -0.08